(1)
A plane-wave DFT calculation with PBE was carried out for crystalline Ca2TiCu2 at its relaxed geometry.

Unit cell a=10.226 b=10.226 c=10.226 alpha=160.80 beta=160.80 gamma=27.28
Sites, in units of the cell vectors:
Ca: 0.124 0.124 0.000
Ca: 0.876 0.876 0.000
Ti: 0.500 0.500 0.000
Cu: 0.250 0.750 0.500
Cu: 0.750 0.250 0.500

Values from the calculation:
* symmetry: I4/mmm
* theoretical density: 3.7 g cm⁻³
* DFT formation energy: 151 kJ/mol of formula units
* total magnetization: 1.41 μB/f.u.
* N(E_F): 4.37 states/eV/cell
* volume: 23.1 Å³ per atom

---

(2)
A plane-wave DFT calculation with PBE was carried out for crystalline Ca8TlCu2 at its relaxed geometry.

Unit cell a=8.298 b=8.298 c=5.760 alpha=98.18 beta=98.18 gamma=111.68
Sites, in units of the cell vectors:
Ca: 0.000 0.000 0.000
Ca: 0.050 0.310 0.607
Ca: 0.135 0.618 0.193
Ca: 0.310 0.050 0.607
Ca: 0.442 0.703 0.779
Ca: 0.618 0.135 0.193
Ca: 0.703 0.442 0.779
Ca: 0.753 0.753 0.385
Tl: 0.376 0.376 0.193
Cu: 0.060 0.692 0.692
Cu: 0.692 0.060 0.692

Values from the calculation:
* symmetry: Cm
* theoretical density: 3.0 g cm⁻³
* DFT formation energy: -104 kJ/mol of formula units
* total magnetization: 0.00 μB/f.u.
* N(E_F): 7.42 states/eV/cell
* volume: 32.4 Å³ per atom

---

(3)
A plane-wave DFT calculation with PBE was carried out for crystalline CaTl2Cu at its relaxed geometry.

Unit cell a=4.667 b=4.667 c=6.130 alpha=112.06 beta=112.06 gamma=60.23
Sites, in units of the cell vectors:
Ca: 0.000 0.000 0.000
Tl: 0.555 0.555 0.668
Tl: 0.781 0.781 0.345
Cu: 0.190 0.190 0.575

Values from the calculation:
* symmetry: Cm
* theoretical density: 8.1 g cm⁻³
* DFT formation energy: -36 kJ/mol of formula units
* total magnetization: 0.00 μB/f.u.
* N(E_F): 1.71 states/eV/cell
* volume: 26.1 Å³ per atom

---

(4)
A plane-wave DFT calculation with PBE was carried out for crystalline CaTl3Cu at its relaxed geometry.

Unit cell a=5.257 b=5.257 c=5.257 alpha=90.00 beta=90.00 gamma=90.00
Sites, in units of the cell vectors:
Ca: 0.000 0.000 0.000
Tl: 0.000 0.500 0.500
Tl: 0.500 0.000 0.500
Tl: 0.500 0.500 0.000
Cu: 0.500 0.500 0.500

Values from the calculation:
* symmetry: Pm-3m
* theoretical density: 8.2 g cm⁻³
* DFT formation energy: 18 kJ/mol of formula units
* total magnetization: 0.00 μB/f.u.
* N(E_F): 3.36 states/eV/cell
* volume: 29.1 Å³ per atom

---

(5)
A plane-wave DFT calculation with PBE was carried out for crystalline CaTl2Cu at its relaxed geometry.

Unit cell a=3.703 b=3.703 c=7.396 alpha=90.00 beta=90.00 gamma=90.00
Sites, in units of the cell vectors:
Ca: 0.000 0.000 0.000
Tl: 0.000 0.000 0.430
Tl: 0.500 0.500 0.713
Cu: 0.500 0.500 0.233

Values from the calculation:
* symmetry: P4mm
* theoretical density: 8.4 g cm⁻³
* DFT formation energy: -12 kJ/mol of formula units
* total magnetization: 0.00 μB/f.u.
* N(E_F): 1.75 states/eV/cell
* volume: 25.4 Å³ per atom

---

(6)
A plane-wave DFT calculation with PBE was carried out for crystalline Ca2TlCu at its relaxed geometry.

Unit cell a=4.584 b=6.183 c=6.183 alpha=39.66 beta=90.00 gamma=90.00
Sites, in units of the cell vectors:
Ca: 0.000 0.000 0.000
Ca: 0.500 0.294 0.294
Tl: 0.000 0.714 0.714
Cu: 0.500 0.575 0.575

Values from the calculation:
* symmetry: Amm2
* theoretical density: 5.2 g cm⁻³
* DFT formation energy: -79 kJ/mol of formula units
* total magnetization: 0.00 μB/f.u.
* N(E_F): 3.16 states/eV/cell
* volume: 28.0 Å³ per atom

---

(7)
A plane-wave DFT calculation with PBE was carried out for crystalline CaTl2Cu at its relaxed geometry.

Unit cell a=3.955 b=4.310 c=6.462 alpha=90.00 beta=107.45 gamma=90.00
Sites, in units of the cell vectors:
Ca: 0.000 0.000 0.000
Tl: 0.344 0.500 0.691
Tl: 0.723 0.000 0.446
Cu: 0.579 0.500 0.162

Values from the calculation:
* symmetry: Pm
* theoretical density: 8.1 g cm⁻³
* DFT formation energy: -21 kJ/mol of formula units
* total magnetization: 0.00 μB/f.u.
* N(E_F): 1.99 states/eV/cell
* volume: 26.3 Å³ per atom

---

(8)
A plane-wave DFT calculation with PBE was carried out for crystalline Ca6Tl5Cu at its relaxed geometry.

Unit cell a=5.413 b=7.789 c=8.567 alpha=90.00 beta=108.20 gamma=90.00
Sites, in units of the cell vectors:
Ca: 0.000 0.238 0.000
Ca: 0.000 0.762 0.000
Ca: 0.340 0.244 0.679
Ca: 0.340 0.756 0.679
Ca: 0.660 0.244 0.321
Ca: 0.660 0.756 0.321
Tl: 0.170 0.000 0.342
Tl: 0.170 0.500 0.338
Tl: 0.500 0.500 0.000
Tl: 0.830 0.000 0.658
Tl: 0.830 0.500 0.662
Cu: 0.500 0.000 0.000

Values from the calculation:
* symmetry: P2/m
* theoretical density: 6.4 g cm⁻³
* DFT formation energy: -419 kJ/mol of formula units
* total magnetization: 0.00 μB/f.u.
* N(E_F): 7.92 states/eV/cell
* volume: 28.6 Å³ per atom

---

(9)
A plane-wave DFT calculation with PBE was carried out for crystalline CaTl2Cu at its relaxed geometry.

Unit cell a=5.125 b=5.125 c=5.125 alpha=60.00 beta=60.00 gamma=60.00
Sites, in units of the cell vectors:
Ca: 0.000 0.000 0.000
Tl: 0.250 0.250 0.250
Tl: 0.750 0.750 0.750
Cu: 0.500 0.500 0.500

Values from the calculation:
* symmetry: Fm-3m
* theoretical density: 8.9 g cm⁻³
* DFT formation energy: -12 kJ/mol of formula units
* total magnetization: 0.00 μB/f.u.
* N(E_F): 2.62 states/eV/cell
* volume: 23.8 Å³ per atom

---

(10)
A plane-wave DFT calculation with PBE was carried out for crystalline Ca2TlCu at its relaxed geometry.

Unit cell a=6.199 b=6.199 c=6.199 alpha=137.29 beta=137.29 gamma=61.99
Sites, in units of the cell vectors:
Ca: 0.000 0.000 0.000
Ca: 0.750 0.250 0.500
Tl: 0.250 0.750 0.500
Cu: 0.500 0.500 0.000

Values from the calculation:
* symmetry: I-4m2
* theoretical density: 5.3 g cm⁻³
* DFT formation energy: -20 kJ/mol of formula units
* total magnetization: 0.00 μB/f.u.
* N(E_F): 3.02 states/eV/cell
* volume: 27.1 Å³ per atom

---

(11)
A plane-wave DFT calculation with PBE was carried out for crystalline CaTl2Cu at its relaxed geometry.

Unit cell a=11.180 b=11.180 c=11.180 alpha=156.61 beta=156.61 gamma=33.32
Sites, in units of the cell vectors:
Ca: 0.000 0.000 0.000
Ca: 0.750 0.250 0.500
Tl: 0.148 0.625 0.023
Tl: 0.375 0.398 0.523
Tl: 0.602 0.125 0.977
Tl: 0.875 0.852 0.477
Cu: 0.250 0.750 0.500
Cu: 0.500 0.500 0.000

Values from the calculation:
* symmetry: I-42d
* theoretical density: 7.7 g cm⁻³
* DFT formation energy: 38 kJ/mol of formula units
* total magnetization: 0.00 μB/f.u.
* N(E_F): 5.13 states/eV/cell
* volume: 27.5 Å³ per atom

---

(12)
A plane-wave DFT calculation with PBE was carried out for crystalline CaTl2Cu2 at its relaxed geometry.

Unit cell a=8.119 b=8.119 c=3.405 alpha=90.00 beta=90.00 gamma=90.00
Sites, in units of the cell vectors:
Ca: 0.000 0.000 0.000
Ca: 0.500 0.500 0.000
Tl: 0.137 0.363 0.000
Tl: 0.363 0.863 0.000
Tl: 0.637 0.137 0.000
Tl: 0.863 0.637 0.000
Cu: 0.162 0.662 0.500
Cu: 0.338 0.162 0.500
Cu: 0.662 0.838 0.500
Cu: 0.838 0.338 0.500

Values from the calculation:
* symmetry: P4/mbm
* theoretical density: 8.5 g cm⁻³
* DFT formation energy: 68 kJ/mol of formula units
* total magnetization: 0.00 μB/f.u.
* N(E_F): 5.11 states/eV/cell
* volume: 22.4 Å³ per atom

---

(13)
A plane-wave DFT calculation with PBE was carried out for crystalline CaTl2Cu at its relaxed geometry.

Unit cell a=3.572 b=3.572 c=7.523 alpha=90.00 beta=90.00 gamma=90.44
Sites, in units of the cell vectors:
Ca: 0.000 0.000 0.000
Tl: 0.500 0.500 0.293
Tl: 0.500 0.500 0.707
Cu: 0.000 0.000 0.500

Values from the calculation:
* symmetry: Cmmm
* theoretical density: 8.9 g cm⁻³
* DFT formation energy: -19 kJ/mol of formula units
* total magnetization: 0.00 μB/f.u.
* N(E_F): 1.97 states/eV/cell
* volume: 24.0 Å³ per atom

---

(14)
A plane-wave DFT calculation with PBE was carried out for crystalline Ca2TlCu at its relaxed geometry.

Unit cell a=3.711 b=3.711 c=8.089 alpha=90.00 beta=90.00 gamma=90.00
Sites, in units of the cell vectors:
Ca: 0.000 0.000 0.000
Ca: 0.500 0.500 0.371
Tl: 0.500 0.500 0.757
Cu: 0.000 0.000 0.581

Values from the calculation:
* symmetry: P4mm
* theoretical density: 5.2 g cm⁻³
* DFT formation energy: -30 kJ/mol of formula units
* total magnetization: 0.00 μB/f.u.
* N(E_F): 1.67 states/eV/cell
* volume: 27.8 Å³ per atom

---

(15)
A plane-wave DFT calculation with PBE was carried out for crystalline Ca2TlCu at its relaxed geometry.

Unit cell a=3.562 b=3.616 c=8.071 alpha=90.00 beta=90.00 gamma=90.00
Sites, in units of the cell vectors:
Ca: 0.000 0.000 0.222
Ca: 0.000 0.000 0.778
Tl: 0.500 0.500 0.500
Cu: 0.500 0.500 0.000

Values from the calculation:
* symmetry: Pmmm
* theoretical density: 5.6 g cm⁻³
* DFT formation energy: -88 kJ/mol of formula units
* total magnetization: 0.00 μB/f.u.
* N(E_F): 2.41 states/eV/cell
* volume: 26.0 Å³ per atom

---

(16)
A plane-wave DFT calculation with PBE was carried out for crystalline Ca6TlCu2 at its relaxed geometry.

Unit cell a=8.916 b=8.916 c=8.916 alpha=113.20 beta=110.97 gamma=104.38
Sites, in units of the cell vectors:
Ca: 0.041 0.239 0.802
Ca: 0.185 0.285 0.470
Ca: 0.185 0.715 0.900
Ca: 0.325 0.025 0.700
Ca: 0.325 0.626 0.300
Ca: 0.437 0.239 0.198
Ca: 0.563 0.761 0.802
Ca: 0.675 0.374 0.700
Ca: 0.675 0.975 0.300
Ca: 0.815 0.285 0.100
Ca: 0.815 0.715 0.530
Ca: 0.959 0.761 0.198
Tl: 0.000 0.000 0.000
Tl: 0.500 0.500 0.000
Cu: 0.114 0.614 0.500
Cu: 0.369 0.000 0.369
Cu: 0.631 0.000 0.631
Cu: 0.886 0.386 0.500

Values from the calculation:
* symmetry: Immm
* theoretical density: 3.5 g cm⁻³
* DFT formation energy: -156 kJ/mol of formula units
* total magnetization: 0.00 μB/f.u.
* N(E_F): 14.91 states/eV/cell
* volume: 30.1 Å³ per atom

---

(17)
A plane-wave DFT calculation with PBE was carried out for crystalline Ca2Tl2Cu at its relaxed geometry.

Unit cell a=7.901 b=7.901 c=4.825 alpha=90.00 beta=90.00 gamma=90.00
Sites, in units of the cell vectors:
Ca: 0.162 0.338 0.000
Ca: 0.338 0.838 0.000
Ca: 0.662 0.162 0.000
Ca: 0.838 0.662 0.000
Tl: 0.148 0.648 0.500
Tl: 0.352 0.148 0.500
Tl: 0.648 0.852 0.500
Tl: 0.852 0.352 0.500
Cu: 0.000 0.000 0.000
Cu: 0.500 0.500 0.000

Values from the calculation:
* symmetry: P4/mbm
* theoretical density: 6.1 g cm⁻³
* DFT formation energy: 6 kJ/mol of formula units
* total magnetization: 0.00 μB/f.u.
* N(E_F): 7.67 states/eV/cell
* volume: 30.1 Å³ per atom

---

(18)
A plane-wave DFT calculation with PBE was carried out for crystalline Ca2TlCu at its relaxed geometry.

Unit cell a=5.113 b=5.113 c=5.113 alpha=60.00 beta=60.00 gamma=60.00
Sites, in units of the cell vectors:
Ca: 0.000 0.000 0.000
Ca: 0.250 0.250 0.250
Tl: 0.500 0.500 0.500
Cu: 0.750 0.750 0.750

Values from the calculation:
* symmetry: F-43m
* theoretical density: 6.1 g cm⁻³
* DFT formation energy: -25 kJ/mol of formula units
* total magnetization: 0.00 μB/f.u.
* N(E_F): 0.96 states/eV/cell
* volume: 23.6 Å³ per atom

---

(19)
A plane-wave DFT calculation with PBE was carried out for crystalline Ca2Tl2Cu at its relaxed geometry.

Unit cell a=7.486 b=7.486 c=4.918 alpha=90.00 beta=90.00 gamma=90.00
Sites, in units of the cell vectors:
Ca: 0.167 0.333 0.000
Ca: 0.333 0.833 0.000
Ca: 0.667 0.167 0.000
Ca: 0.833 0.667 0.000
Tl: 0.145 0.645 0.500
Tl: 0.355 0.145 0.500
Tl: 0.645 0.855 0.500
Tl: 0.855 0.355 0.500
Cu: 0.000 0.000 0.500
Cu: 0.500 0.500 0.500

Values from the calculation:
* symmetry: P4/mbm
* theoretical density: 6.7 g cm⁻³
* DFT formation energy: -72 kJ/mol of formula units
* total magnetization: 0.00 μB/f.u.
* N(E_F): 5.32 states/eV/cell
* volume: 27.6 Å³ per atom

---

(20)
A plane-wave DFT calculation with PBE was carried out for crystalline CaTlCu3 at its relaxed geometry.

Unit cell a=4.932 b=4.932 c=4.932 alpha=90.00 beta=90.00 gamma=90.00
Sites, in units of the cell vectors:
Ca: 0.000 0.000 0.000
Tl: 0.500 0.500 0.500
Cu: 0.000 0.500 0.500
Cu: 0.500 0.000 0.500
Cu: 0.500 0.500 0.000

Values from the calculation:
* symmetry: Pm-3m
* theoretical density: 6.0 g cm⁻³
* DFT formation energy: 208 kJ/mol of formula units
* total magnetization: 0.00 μB/f.u.
* N(E_F): 2.07 states/eV/cell
* volume: 24.0 Å³ per atom